Entry 1:
AcThPtBr: optimized geometry, PBE. Values from VASP.

## Properties
* ΔE_f (raw): -1.154 eV per atom
* spin magnetization: 0.00 μB per formula unit
* calculated volume: 32.3 Å³ per atom

Cell and atoms, written as Quantum ESPRESSO input:
```
&SYSTEM
  ibrav = 0, nat = 4, ntyp = 4
/
ATOMIC_SPECIES
Ac 227.00 Ac.upf
Th 232.04 Th.upf
Pt 195.08 Pt.upf
Br 79.90 Br.upf
ATOMIC_POSITIONS angstrom
Ac 0.2317 -0.5229 5.3611
Th 3.8343 0.6779 0.1150
Pt 2.2280 1.1145 7.0368
Br 0.5186 -2.8325 2.7033
CELL_PARAMETERS angstrom
-1.2215 -4.1170 -0.0230
4.1505 1.0102 -0.4317
0.3440 2.0902 8.1924
```

---

Entry 2:
Ac4TlPtBr2: optimized geometry, PBE. Values from VASP.

## Properties
* ΔE_f (raw): -1.017 eV per atom
* spin magnetization: 0.00 μB per formula unit
* calculated volume: 36.7 Å³ per atom

Cell and atoms, written as Quantum ESPRESSO input:
```
&SYSTEM
  ibrav = 0, nat = 8, ntyp = 4
/
ATOMIC_SPECIES
Ac 227.00 Ac.upf
Tl 204.38 Tl.upf
Pt 195.08 Pt.upf
Br 79.90 Br.upf
ATOMIC_POSITIONS angstrom
Ac -5.0882 -8.3490 -0.9416
Ac -4.1119 -1.3441 -3.8052
Ac -3.1003 -5.4704 -3.6584
Ac -6.0998 -4.2228 -1.0884
Tl -1.1477 -2.8176 -3.5762
Pt -3.4845 -5.7212 -0.6467
Br -6.9047 -4.0580 2.4056
Br -4.5680 -1.1544 -0.5239
CELL_PARAMETERS angstrom
-2.2313 1.7493 -3.4534
-0.0642 -7.3844 -3.6991
-6.9047 -4.0580 2.4056
```

---

Entry 3:
Ac8ZnPt3Br4: optimized geometry, PBE. Values from VASP.

## Properties
* ΔE_f (raw): -1.165 eV per atom
* spin magnetization: 0.00 μB per formula unit
* calculated volume: 35.7 Å³ per atom

Cell and atoms, written as Quantum ESPRESSO input:
```
&SYSTEM
  ibrav = 0, nat = 16, ntyp = 4
/
ATOMIC_SPECIES
Ac 227.00 Ac.upf
Zn 65.41 Zn.upf
Pt 195.08 Pt.upf
Br 79.90 Br.upf
ATOMIC_POSITIONS angstrom
Ac -2.1777 2.4113 6.4296
Ac 0.0000 4.5908 3.3535
Ac 0.0000 0.4854 3.5253
Ac 2.1777 2.4113 6.4296
Ac 2.3222 2.7334 0.3943
Ac 4.4999 4.6594 3.2985
Ac 4.4999 0.5540 3.4704
Ac 6.6777 2.7334 0.3943
Zn 0.0000 4.8237 0.2319
Pt 4.4999 4.8237 0.2319
Pt 2.2500 2.5724 3.4119
Pt -2.2500 2.5724 3.4119
Br 4.4999 0.0000 0.0000
Br 2.2500 -2.2513 3.1801
Br 0.0000 0.0000 0.0000
Br -2.2500 -2.2513 3.1801
CELL_PARAMETERS angstrom
8.9999 0.0000 0.0000
0.0000 9.6474 0.4637
-4.4999 -4.5027 6.3601
```

---

Entry 4:
Ac2PuBr: optimized geometry, PBE. Values from VASP.

## Properties
* ΔE_f (raw): -0.359 eV per atom
* E above lowest polymorph: 0.068 eV/atom
* spin magnetization: 7.01 μB per formula unit
* calculated volume: 36.0 Å³ per atom

Cell and atoms, written as Quantum ESPRESSO input:
```
&SYSTEM
  ibrav = 0, nat = 4, ntyp = 3
/
ATOMIC_SPECIES
Ac 227.00 Ac.upf
Br 79.90 Br.upf
Pu 244.00 Pu.upf
ATOMIC_POSITIONS angstrom
Ac -2.0431 4.8352 5.5572
Ac -0.6593 1.5603 1.7933
Br -1.9287 0.9796 -1.5615
Pu -3.2799 4.1774 2.1138
CELL_PARAMETERS angstrom
-0.2289 2.7991 -2.5196
-3.6285 -0.8398 -0.6033
-2.7025 6.3955 7.3505
```

---

Entry 5:
Ac2PuBr: optimized geometry, PBE. Values from VASP.

## Properties
* ΔE_f (raw): -0.427 eV per atom
* E above lowest polymorph: 0.000 eV/atom
* spin magnetization: 6.90 μB per formula unit
* calculated volume: 37.0 Å³ per atom

Cell and atoms, written as Quantum ESPRESSO input:
```
&SYSTEM
  ibrav = 0, nat = 4, ntyp = 3
/
ATOMIC_SPECIES
Ac 227.00 Ac.upf
Br 79.90 Br.upf
Pu 244.00 Pu.upf
ATOMIC_POSITIONS angstrom
Ac -2.2462 3.2822 9.8099
Ac -0.7007 1.2611 3.4083
Br -1.4735 2.2716 6.6091
Pu 0.0000 0.0000 0.0000
CELL_PARAMETERS angstrom
-3.5371 -0.3854 1.6932
-0.4580 -2.4172 3.0780
1.0482 7.3459 8.4470
```

---

Entry 6:
AcPuBr2: optimized geometry, PBE. Values from VASP.

## Properties
* ΔE_f (raw): -0.923 eV per atom
* spin magnetization: 7.32 μB per formula unit
* calculated volume: 34.6 Å³ per atom

Cell and atoms, written as Quantum ESPRESSO input:
```
&SYSTEM
  ibrav = 0, nat = 4, ntyp = 3
/
ATOMIC_SPECIES
Ac 227.00 Ac.upf
Br 79.90 Br.upf
Pu 244.00 Pu.upf
ATOMIC_POSITIONS angstrom
Ac 0.0000 0.0000 0.0000
Br 1.9470 1.1241 7.3139
Br 5.8410 3.3723 3.2137
Pu 3.8940 2.2482 5.2638
CELL_PARAMETERS angstrom
3.8940 0.0000 0.0000
1.9470 3.3723 0.0000
1.9470 1.1241 10.5276
```

---

Entry 7:
AcPuSbBr: optimized geometry, PBE. Values from VASP.

## Properties
* ΔE_f (raw): -0.934 eV per atom
* spin magnetization: 6.89 μB per formula unit
* calculated volume: 30.2 Å³ per atom

Cell and atoms, written as Quantum ESPRESSO input:
```
&SYSTEM
  ibrav = 0, nat = 4, ntyp = 4
/
ATOMIC_SPECIES
Sb 121.76 Sb.upf
Ac 227.00 Ac.upf
Br 79.90 Br.upf
Pu 244.00 Pu.upf
ATOMIC_POSITIONS angstrom
Sb 1.5789 -1.3259 2.6994
Ac 3.1579 -2.6519 5.3987
Br 4.7368 -3.9778 8.0981
Pu 0.0000 0.0000 0.0000
CELL_PARAMETERS angstrom
-0.2613 -3.8990 3.9366
4.6411 -2.4670 1.7725
1.9360 1.0622 5.0883
```

---

Entry 8:
AcPuSeBr: optimized geometry, PBE. Values from VASP.

## Properties
* ΔE_f (raw): -1.124 eV per atom
* spin magnetization: 7.01 μB per formula unit
* calculated volume: 27.0 Å³ per atom

Cell and atoms, written as Quantum ESPRESSO input:
```
&SYSTEM
  ibrav = 0, nat = 4, ntyp = 4
/
ATOMIC_SPECIES
Ac 227.00 Ac.upf
Se 78.96 Se.upf
Br 79.90 Br.upf
Pu 244.00 Pu.upf
ATOMIC_POSITIONS angstrom
Ac -0.9061 2.7857 5.8518
Se -0.4531 1.3928 2.9259
Br -1.3592 4.1785 8.7777
Pu 0.0000 0.0000 0.0000
CELL_PARAMETERS angstrom
-3.0834 3.3357 2.8134
-0.9104 -0.9326 5.1818
2.1816 3.1683 3.7084
```

---

Entry 9:
Rb5Ac3Br12: optimized geometry, PBE. Values from VASP.

## Properties
* ΔE_f (raw): -1.622 eV per atom
* spin magnetization: 1.58 μB per formula unit
* calculated volume: 51.4 Å³ per atom

Cell and atoms, written as Quantum ESPRESSO input:
```
&SYSTEM
  ibrav = 0, nat = 80, ntyp = 3
/
ATOMIC_SPECIES
Ac 227.00 Ac.upf
Br 79.90 Br.upf
Rb 85.47 Rb.upf
ATOMIC_POSITIONS angstrom
Ac -6.7650 -4.1914 8.3875
Ac -4.0780 -7.9991 12.4467
Ac 5.1537 2.6108 10.0153
Ac -1.3271 4.3267 3.3687
Ac -11.4749 -0.3500 7.2673
Ac 2.5609 -2.7280 8.2919
Ac -3.0651 7.0467 8.6389
Ac 10.9706 4.6688 9.6636
Ac 0.8228 -0.0079 13.5622
Ac -5.6580 1.7080 6.9156
Ac 3.5738 12.3179 4.4842
Ac 6.2607 8.5102 8.5434
Br -8.7872 -3.4850 6.2267
Br 2.4726 0.2539 7.6934
Br -9.9892 -1.6731 9.5694
Br -5.6213 -1.0848 5.7088
Br 2.2061 2.8548 10.7292
Br -6.7445 -6.6562 11.8601
Br 5.7123 -0.3789 9.9306
Br 10.5667 -6.0334 9.4325
Br 3.8366 0.3726 13.3902
Br -4.0322 -4.9098 9.5161
Br -5.9859 -1.5368 9.6539
Br -2.2221 -10.2735 13.2468
Br 7.5795 2.5637 8.1792
Br -0.3384 -4.0911 5.4864
Br 11.2839 -2.2567 8.3726
Br -3.4483 7.2479 5.6272
Br 1.9583 2.0472 1.9040
Br 1.4168 -5.5010 8.8006
Br -0.4688 -6.8877 14.4147
Br 3.4100 -2.7355 5.3702
Br 8.8241 3.9610 11.7005
Br -0.0970 -0.4233 10.6918
Br -1.7693 -1.5286 14.0376
Br -5.4707 10.3372 9.8719
Br -0.4073 4.7421 6.2391
Br 1.2650 5.8474 2.8933
Br 4.9665 -6.0185 7.0590
Br -0.0355 11.2065 2.5162
Br -9.3283 0.3578 5.2304
Br -3.9143 7.0543 11.5607
Br -1.9211 9.8198 8.1303
Br 2.9440 -2.9291 11.3036
Br -2.4626 2.2716 15.0268
Br -11.7882 6.5755 8.5583
Br -8.0838 1.7551 8.7517
Br 1.7178 14.5922 3.6841
Br -0.1659 8.4099 11.4445
Br -4.3409 3.9462 3.5407
Br 3.5279 9.2286 7.4148
Br 5.4816 5.8556 7.2770
Br -11.0710 10.3522 7.4983
Br -6.2166 4.6977 7.0003
Br 5.1170 5.4036 11.2221
Br 6.2402 10.9750 5.0708
Br -2.7104 1.4640 6.2017
Br 9.4849 5.9919 7.3615
Br -2.9769 4.0649 9.2375
Br 8.2830 7.8037 10.7042
Rb 3.3829 0.4852 4.4889
Rb 6.1959 -4.4021 4.3154
Rb 0.0000 0.0000 0.0000
Rb -2.4340 -1.5728 4.8406
Rb -6.4480 6.5615 4.1501
Rb -1.6440 -6.4263 7.6061
Rb 8.3777 -0.6700 7.9402
Rb -7.7751 10.8882 7.5187
Rb -2.9711 -2.0997 10.9748
Rb -2.2431 10.2599 4.8359
Rb 1.7388 -5.9411 12.0950
Rb -0.2521 2.1594 8.4654
Rb -7.8399 -2.0242 3.2907
Rb 1.3919 8.5857 0.8593
Rb 2.4668 6.4184 5.9560
Rb 7.2708 -6.5694 9.4121
Rb 7.5877 4.1836 5.1747
Rb -8.8820 4.9888 8.9906
Rb 1.9297 5.8916 12.0903
Rb -3.8872 3.8336 12.4420
CELL_PARAMETERS angstrom
-15.6798 -4.0483 6.5815
12.3917 -8.8043 8.6308
2.7838 17.1714 1.7186
```

---

Which value of ΔE_f (raw) does entry 7 give? -0.934 eV per atom